DFT (PBE) results for a relaxed CsHPb2 crystal.

Output
total magnetic moment	0.00	μB/atom
E above lowest polymorph	0.633	eV per atom
density of states at the Fermi level	0.521	states/eV/atom
crystal system	cubic
energy	-2.123	eV per atom

a = 5.6811 Å, b = 5.6811 Å, c = 5.6811 Å
α = 60.00°, β = 60.00°, γ = 60.00°
Element x y z (fractional)
Pb  0.2500  0.2500  0.2500
Pb  0.7500  0.7500  0.7500
Cs  0.5000  0.5000  0.5000
H  0.0000  0.0000  0.0000